No. 1
# Be2TeMo | the Alexandria database | PBE-GGA | relaxed
# Mass density in g/cm³: 6.2
# Total magnetization in μB/cell: 0.00
# Calculated total energy in eV per atom: -4.627
# Energy relative to the elements, uncorrected in kJ/mol of formula units: 282
# Crystal system: trigonal
data_Be2TeMo
_chemical_formula_sum 'Be6 Te3 Mo3'
_space_group_name_H-M_alt 'R -3 m'
_space_group_IT_number 166
_space_group_name_Hall '-R 3 2"'
_cell_length_a 2.9914
_cell_length_b 2.9914
_cell_length_c 24.8676
_cell_angle_alpha 90.00
_cell_angle_beta 90.00
_cell_angle_gamma 120.00
loop_
_atom_site_label
_atom_site_type_symbol
_atom_site_fract_x
_atom_site_fract_y
_atom_site_fract_z
Be1 Be 0.0000 0.0000 0.2394
Te1 Te 0.0000 0.0000 0.0000
Mo1 Mo 0.0000 0.0000 0.5000



No. 2
# ThBeMo | the Alexandria database | PBE-GGA | relaxed
# Mass density in g/cm³: 9.2
# Total magnetization in μB/cell: 0.00
# Calculated total energy in eV per atom: -6.765
# Crystal system: orthorhombic
data_ThBeMo
_chemical_formula_sum 'Th16 Be16 Mo16'
_space_group_name_H-M_alt 'F d d d'
_space_group_IT_number 70
_cell_length_a 4.538
_cell_length_b 11.386
_cell_length_c 18.810
_cell_angle_alpha 90.00
_cell_angle_beta 90.00
_cell_angle_gamma 90.00
loop_
_space_group_symop_operation_xyz
'x,y,z'
'-x,-y,-z'
'-x+1/4,-y+1/4,z'
'x+1/4,y+1/4,-z'
'x,-y+1/4,-z+1/4'
'-x,y+1/4,z+1/4'
'-x+1/4,y,-z+1/4'
'x+1/4,-y,z+1/4'
'x,y+1/2,z+1/2'
'-x,-y+1/2,-z+1/2'
'-x+1/4,-y+3/4,z+1/2'
'x+1/4,y+3/4,-z+1/2'
'x,-y+3/4,-z+3/4'
'-x,y+3/4,z+3/4'
'-x+1/4,y+1/2,-z+3/4'
'x+1/4,-y+1/2,z+3/4'
'x+1/2,y,z+1/2'
'-x+1/2,-y,-z+1/2'
'-x+3/4,-y+1/4,z+1/2'
'x+3/4,y+1/4,-z+1/2'
'x+1/2,-y+1/4,-z+3/4'
'-x+1/2,y+1/4,z+3/4'
'-x+3/4,y,-z+3/4'
'x+3/4,-y,z+3/4'
'x+1/2,y+1/2,z'
'-x+1/2,-y+1/2,-z'
'-x+3/4,-y+3/4,z'
'x+3/4,y+3/4,-z'
'x+1/2,-y+3/4,-z+1/4'
'-x+1/2,y+3/4,z+1/4'
'-x+3/4,y+1/2,-z+1/4'
'x+3/4,-y+1/2,z+1/4'
loop_
_atom_site_label
_atom_site_type_symbol
_atom_site_fract_x
_atom_site_fract_y
_atom_site_fract_z
Th1 Th 0.125 0.264 0.125
Be1 Be 0.125 0.125 0.534
Mo1 Mo 0.125 0.125 0.257